10
Lattice="-2.865 2.865 5.007 2.865 -2.865 5.007 2.865 2.865 -5.007" Properties=species:S:1:pos:R:3 comment="Rb2RuCF6 (PBE-GGA, optimized geometry)" total_magnetization_mub_per_cell=2.00 space_group=I4/mmm dos_at_fermi_per_ev_atom=0.92 e_tot_ev_per_atom=-4.511 crystal_system=tetragonal pbc="T T T"
Rb 2.865 0.000 2.504
Rb 0.000 2.865 2.504
Ru 0.000 0.000 0.000
C 0.000 0.000 5.007
F 0.000 0.000 1.997
F 1.450 1.450 0.000
F 1.415 -1.415 5.007
F -1.415 1.415 5.007
F 1.415 1.415 5.007
F 0.000 0.000 8.018